[1]
A plane-wave DFT calculation with PBE was carried out for a geometry-optimized Tm3Zr2Al2 structure.

Cell: 4.767 3.192 11.283 Å, 90.00 77.80 90.00°
Fractional positions:
Tm1 0.000 0.000 0.000
Tm2 0.145 0.000 0.710
Tm3 0.855 0.000 0.290
Al1 0.426 0.500 0.148
Al2 0.574 0.500 0.852
Zr1 0.722 0.500 0.556
Zr2 0.278 0.500 0.444

Values from the calculation:
- space-group type = No. 65
- DFT formation energy (eV per formula unit) = -0.7
- energy (Ha/atom) = -0.2031



[2]
A plane-wave DFT calculation with PBE was carried out for a geometry-optimized TmZr2Al9 structure.

Cell: 5.353 5.353 9.324 Å, 73.32 73.32 60.00°
Fractional positions:
Al1 0.081 0.590 0.740
Al2 0.410 0.919 0.260
Al3 0.500 0.500 0.500
Al4 0.334 0.334 0.998
Al5 0.590 0.081 0.740
Al6 0.666 0.666 0.002
Al7 0.410 0.410 0.260
Al8 0.590 0.590 0.740
Al9 0.919 0.410 0.260
Zr1 0.144 0.144 0.567
Zr2 0.856 0.856 0.433
Tm1 0.000 0.000 0.000

Values from the calculation:
- space-group type = No. 166
- DFT formation energy (eV per formula unit) = -3.8
- energy (Ha/atom) = -0.1809



[3]
A plane-wave DFT calculation with PBE was carried out for a geometry-optimized TmZr2Al6 structure.

Cell: 4.233 7.712 7.712 Å, 51.84 74.07 74.07°
Fractional positions:
Zr1 0.883 0.617 0.617
Zr2 0.117 0.383 0.383
Al1 0.310 0.985 0.396
Al2 0.690 0.604 0.015
Al3 0.500 0.689 0.311
Al4 0.310 0.396 0.985
Al5 0.500 0.311 0.689
Al6 0.690 0.015 0.604
Tm1 0.000 0.000 0.000

Values from the calculation:
- relative energy among the computed polymorphs (meV/atom) = 164
- space-group type = No. 71
- DFT formation energy (eV per formula unit) = -2.5
- energy (Ha/atom) = -0.1901